{"formula": "Li2ScSbH", "functional": "PBE-GGA", "state": "relaxed", "cell": [[4.194, 0.000, 0.000], [0.000, 4.194, 0.000], [0.000, 0.000, 4.376]], "species": ["Li", "Li", "Sc", "Sb", "H"], "fractional_positions": [[0.000, 0.500, 0.000], [0.500, 0.000, 0.000], [0.000, 0.000, 0.500], [0.500, 0.500, 0.500], [0.000, 0.000, 0.000]], "volume_a3_per_atom": 15.40, "mass_density_g_cm3": 3.92, "energy_ev_per_atom": -4.13}